The following is a DFT calculation (PBE) of an optimized crystal structure of TmZnMo.

## Properties
The calculated volume is 23.81 A^3/atom. The space-group type is F-43m, No. 216. Its energy relative to the elements is 326 kJ/mol of formula units. The value obtained for the total magnetization is 3.00 μB/f.u. For the calculated total energy, the calculation gives -4.40 eV/atom.

Lattice parameters (Å, degrees): 4.657 4.657 4.657 60.00 60.00 60.00
Element x y z (fractional)
Tm1 0.000 0.000 0.000
Zn1 0.250 0.250 0.250
Mo1 0.750 0.750 0.750